Material: La2SnSb4
Method: DFT, PBE
State: relaxed

raw formation energy = -0.219 eV/atom
distance to the lowest polymorph of the same formula = 0.497 eV/atom
space-group type = I4/mmm

Cell lengths 5.609, 5.609, 9.009 Å; angles 71.86, 71.86, 90.00 degrees
Atoms (fractional coordinates):
1 Sb 0.190 0.190 0.621
2 Sb 0.810 0.810 0.379
3 Sb 0.000 0.500 0.000
4 Sb 0.500 0.000 0.000
5 Sn 0.000 0.000 0.000
6 La 0.382 0.382 0.237
7 La 0.618 0.618 0.763


Material: Ti5Ge2Sb2
Method: DFT, PBE
State: relaxed

raw formation energy = -0.610 eV/atom
space-group type = Cmce

Cell lengths 6.987, 6.918, 7.624 Å; angles 90.00, 62.73, 90.00 degrees
Atoms (fractional coordinates):
1 Ti 0.000 0.000 0.000
2 Ti 0.500 0.500 0.000
3 Ti 0.464 0.166 0.750
4 Ti 0.786 0.834 0.750
5 Ti 0.286 0.666 0.750
6 Ti 0.964 0.334 0.750
7 Ti 0.536 0.834 0.250
8 Ti 0.214 0.166 0.250
9 Ti 0.714 0.334 0.250
10 Ti 0.036 0.666 0.250
11 Ge 0.135 0.367 0.000
12 Ge 0.865 0.633 0.000
13 Ge 0.365 0.867 0.000
14 Ge 0.635 0.133 0.000
15 Sb 0.207 0.000 0.585
16 Sb 0.707 0.500 0.585
17 Sb 0.793 0.000 0.415
18 Sb 0.293 0.500 0.415


Material: Gd2RhCl
Method: DFT, PBE
State: relaxed

raw formation energy = -1.197 eV/atom
distance to the lowest polymorph of the same formula = 0.000 eV/atom
space-group type = R-3m

Cell lengths 3.989, 3.989, 7.806 Å; angles 75.20, 75.20, 60.00 degrees
Atoms (fractional coordinates):
1 Gd 0.265 0.265 0.205
2 Gd 0.735 0.735 0.795
3 Rh 0.000 0.000 0.000
4 Cl 0.500 0.500 0.500


Material: MnZn2Cr
Method: DFT, PBE
State: relaxed

distance to the lowest polymorph of the same formula = 0.067 eV/atom
space-group type = Pmmm
formation energy = 12.6 kJ/mol of atoms

Cell lengths 3.044, 4.081, 4.337 Å; angles 90.00, 90.00, 90.00 degrees
Atoms (fractional coordinates):
1 Cr 0.500 0.000 0.500
2 Mn 0.000 0.500 0.500
3 Zn 0.000 0.000 0.000
4 Zn 0.500 0.500 0.000


Material: K2TbGe2O6
Method: DFT, PBE
State: relaxed

raw formation energy = -2.032 eV/atom
space-group type = C2/m

Cell lengths 6.077, 6.008, 6.958 Å; angles 116.68, 90.00, 120.38 degrees
Atoms (fractional coordinates):
1 K 0.706 0.411 0.169
2 K 0.294 0.589 0.831
3 Tb 0.500 0.000 0.500
4 Ge 0.949 0.898 0.782
5 Ge 0.051 0.102 0.218
6 O 0.753 0.506 0.642
7 O 0.209 0.934 0.239
8 O 0.275 0.066 0.761
9 O 0.791 0.066 0.761
10 O 0.725 0.934 0.239
11 O 0.247 0.494 0.358


Material: Ce2ThSb2Te2
Method: DFT, PBE
State: relaxed

raw formation energy = -0.705 eV/atom
space-group type = I4/mmm

Cell lengths 5.976, 5.976, 8.873 Å; angles 109.68, 109.68, 90.00 degrees
Atoms (fractional coordinates):
1 Ce 0.388 0.388 0.777
2 Ce 0.612 0.612 0.223
3 Th 0.000 0.000 0.000
4 Sb 0.000 0.500 0.000
5 Sb 0.500 0.000 0.000
6 Te 0.197 0.197 0.393
7 Te 0.803 0.803 0.607


Material: CaTmTlAg
Method: DFT, PBE
State: relaxed

distance to the lowest polymorph of the same formula = 0.024 eV/atom
space-group type = F-43m
formation energy = -32.3 kJ/mol of atoms

Cell lengths 5.261, 5.261, 5.261 Å; angles 60.00, 60.00, 60.00 degrees
Atoms (fractional coordinates):
1 Tl 0.750 0.750 0.750
2 Tm 0.000 0.000 0.000
3 Ca 0.500 0.500 0.500
4 Ag 0.250 0.250 0.250


Material: Pu4PtS2Cl
Method: DFT, PBE
State: relaxed

raw formation energy = -1.266 eV/atom
space-group type = P2/m

Cell lengths 3.931, 7.123, 6.977 Å; angles 70.73, 90.00, 90.00 degrees
Atoms (fractional coordinates):
1 Pu 0.000 0.760 0.750
2 Pu 0.000 0.240 0.250
3 Pu 0.500 0.763 0.244
4 Pu 0.500 0.237 0.756
5 Pt 0.500 0.500 0.000
6 S 0.000 0.000 0.000
7 S 0.500 0.000 0.500
8 Cl 0.000 0.500 0.500


Material: SrSb2Os
Method: DFT, PBE
State: relaxed

raw formation energy = -0.008 eV/atom
distance to the lowest polymorph of the same formula = 0.235 eV/atom
space-group type = Immm

Cell lengths 6.286, 6.286, 6.286 Å; angles 149.17, 124.78, 64.59 degrees
Atoms (fractional coordinates):
1 Os 0.250 0.750 0.500
2 Sb 0.055 0.055 0.000
3 Sb 0.445 0.445 0.000
4 Sr 0.750 0.250 0.500


Material: KMgCr
Method: DFT, PBE
State: relaxed

distance to the lowest polymorph of the same formula = 0.109 eV/atom
space-group type = P3m1
formation energy = 79.4 kJ/mol of atoms

Cell lengths 5.545, 5.545, 3.379 Å; angles 90.00, 90.00, 120.00 degrees
Atoms (fractional coordinates):
1 Cr 0.000 0.000 0.863
2 K 0.667 0.333 0.332
3 Mg 0.333 0.667 0.805


Material: PmFe6B3
Method: DFT, PBE
State: relaxed

space-group type = P1
formation energy = -13.1 kJ/mol of atoms

Cell lengths 5.206, 5.034, 6.044 Å; angles 91.05, 120.50, 118.49 degrees
Atoms (fractional coordinates):
1 Pm 0.977 0.991 0.916
2 Fe 0.288 0.408 0.690
3 Fe 0.255 0.646 0.315
4 Fe 0.712 0.103 0.239
5 Fe 0.290 0.876 0.700
6 Fe 0.687 0.342 0.581
7 Fe 0.697 0.604 0.234
8 B 0.693 0.347 0.960
9 B 0.264 0.632 0.964
10 B 0.136 0.049 0.402


Material: AcTb4Tl5
Method: DFT, PBE
State: relaxed

space-group type = P4/mmm
formation energy = -33.8 kJ/mol of atoms

Cell lengths 3.826, 3.826, 19.829 Å; angles 90.00, 90.00, 90.00 degrees
Atoms (fractional coordinates):
1 Ac 0.000 0.000 0.000
2 Tb 0.000 0.000 0.212
3 Tb 0.000 0.000 0.405
4 Tb 0.000 0.000 0.595
5 Tb 0.000 0.000 0.788
6 Tl 0.500 0.500 0.118
7 Tl 0.500 0.500 0.310
8 Tl 0.500 0.500 0.500
9 Tl 0.500 0.500 0.690
10 Tl 0.500 0.500 0.882


| no. | magnetic moment (μB/f.u.) |
| --- | --- |
| 1 | 0.0 |
| 2 | 0.0 |
| 3 | 14.1 |
| 4 | 0.2 |
| 5 | 0.9 |
| 6 | 2.0 |
| 7 | 0.0 |
| 8 | 0.4 |
| 9 | 0.0 |
| 10 | 4.9 |
| 11 | 9.5 |
| 12 | 0.0 |